DFT (GGA-PBE) results for CaPbBr3 after structural relaxation.

Output
The value obtained for the theoretical density is 4.54 g/cm3. Its uncorrected formation energy is -1.117 eV per atom. Its space group is Pm-3m (221). The value obtained for the total energy is -3.262 eV per atom.

Unit cell a=5.6256 b=5.6256 c=5.6256 alpha=90.00 beta=90.00 gamma=90.00
Last column: magnetic moment on the atom in μB.
Atoms (fractional coordinates):
Br  0.0000  0.0000  0.5000  0.01
Br  0.0000  0.5000  0.0000  0.01
Br  0.5000  0.0000  0.0000  0.01
Ca  0.0000  0.0000  0.0000  0.00
Pb  0.5000  0.5000  0.5000  0.35